Compound: Zn2BSe
Source: the Alexandria database
Functional: SCAN
Structure: single point on PBEsol structure

```
8
Lattice="-2.7934 2.7934 4.4957 2.7934 -2.7934 4.4957 2.7934 2.7934 -4.4957" Properties=species:S:1:pos:R:3 pbc="T T T"
Zn 4.1900 1.1163 -1.1239
Zn 1.1163 1.3967 1.1239
Zn -1.3967 1.6770 3.3718
Zn 1.6770 1.3967 5.6196
B 0.0000 0.0000 0.0000
B 0.0000 2.7934 2.2478
Se 2.7934 0.0000 2.2478
Se 0.0000 0.0000 4.4957
```

## Properties
**Theoretical density**: 5.22 g cm⁻³
**SG**: I-42d, No. 122
**Crystal system**: tetragonal
**Formation energy (no corrections)**: 440 meV per atom